(1)
VASP calculation (PBE) on crystalline CdCuAu4 at its relaxed geometry.

Computed properties:
Uncorrected energy   -3.088 eV per atom
Calculated formation energy   -0.07 eV/atom

Cell lengths 3.054, 3.054, 11.314 Å; angles 90.00, 90.00, 90.00 degrees
Space group P4/mmm (No. 123)
Asymmetric unit:
Cd1 0.000 0.000 0.000
Cu1 0.500 0.500 0.500
Au1 0.000 0.000 0.358
Au2 0.500 0.500 0.180

=====

(2)
VASP calculation (PBE) on crystalline CdCuAu2 at its relaxed geometry.

Computed properties:
Uncorrected energy   -2.990 eV per atom
Calculated formation energy   -0.10 eV/atom

Cell lengths 3.015, 3.254, 7.041 Å; angles 90.00, 90.00, 90.00 degrees
Space group Pmmm (No. 47)
Asymmetric unit:
Cd1 0.000 0.000 0.000
Cu1 0.000 0.000 0.500
Au1 0.500 0.500 0.281

=====

(3)
VASP calculation (PBE) on crystalline Cd3CuAu6 at its relaxed geometry.

Computed properties:
Uncorrected energy   -2.772 eV per atom
Calculated formation energy   -0.12 eV/atom

Cell lengths 7.982, 4.732, 10.262 Å; angles 90.00, 108.32, 90.00 degrees
Space group P2_1/m (No. 11)
Asymmetric unit:
Cd1 0.048 0.250 0.385
Cd2 0.136 0.750 0.226
Cd3 0.276 0.250 0.990
Cu1 0.462 0.250 0.577
Au1 0.036 0.750 0.923
Au2 0.181 0.250 0.678
Au3 0.267 0.750 0.523
Au4 0.339 0.750 0.830
Au5 0.370 0.250 0.301
Au6 0.444 0.750 0.143

=====

(4)
VASP calculation (PBE) on crystalline CdCu2Au2 at its relaxed geometry.

Computed properties:
Uncorrected energy   -3.178 eV per atom
Calculated formation energy   -0.05 eV/atom

Cell lengths 7.421, 7.421, 3.010 Å; angles 90.00, 90.00, 90.00 degrees
Space group P4/mbm (No. 127)
Asymmetric unit:
Cd1 0.000 0.000 0.000
Cu1 0.121 0.379 0.000
Au1 0.174 0.674 0.500

=====

(5)
VASP calculation (PBE) on crystalline CdCu2Au2 at its relaxed geometry.

Computed properties:
Uncorrected energy   -3.114 eV per atom
Calculated formation energy   0.02 eV/atom

Cell lengths 4.4255, 4.4255, 5.2071 Å; angles 90.00, 90.00, 120.00 degrees
Space group P-3m1 (No. 164)
Asymmetric unit:
Cd1 0.0000 0.0000 0.0000
Cu1 0.3333 0.6667 0.8378
Au1 0.3333 0.6667 0.3420

=====

(6)
VASP calculation (PBE) on crystalline Cd2CuAu2 at its relaxed geometry.

Computed properties:
Uncorrected energy   -2.569 eV per atom
Calculated formation energy   -0.07 eV/atom

Cell lengths 13.969, 4.125, 6.760 Å; angles 90.00, 99.89, 90.00 degrees
Space group C2/m (No. 12)
Asymmetric unit:
Cd1 0.025 0.000 0.260
Cd2 0.241 0.000 0.659
Cu1 0.220 0.000 0.075
Au1 0.099 0.500 0.007
Au2 0.100 0.500 0.573

=====

(7)
VASP calculation (PBE) on crystalline CdCu3Au3 at its relaxed geometry.

Computed properties:
Uncorrected energy   -3.251 eV per atom
Calculated formation energy   0.04 eV/atom

Cell lengths 6.4341, 6.4341, 20.0387 Å; angles 90.00, 90.00, 120.00 degrees
Space group R-3 (No. 148, hexagonal axes)
Asymmetric unit:
Cd1 0.0000 0.0000 0.1833
Cu1 0.0399 0.7838 0.6975
Au1 0.0514 0.7735 0.5663

=====

(8)
VASP calculation (PBE) on crystalline CdCuAu at its relaxed geometry.

Computed properties:
Uncorrected energy   -2.813 eV per atom
Calculated formation energy   -0.05 eV/atom

Cell lengths 3.992, 3.992, 6.876 Å; angles 90.00, 90.00, 90.00 degrees
Space group P4/nmm (No. 129, origin choice 2)
Asymmetric unit:
Cd1 0.250 0.250 0.174
Cu1 0.250 0.750 0.500
Au1 0.250 0.250 0.757

=====

(9)
VASP calculation (PBE) on crystalline CdCuAu2 at its relaxed geometry.

Computed properties:
Uncorrected energy   -2.875 eV per atom
Calculated formation energy   0.02 eV/atom

Cell lengths 2.9946, 2.9946, 27.1539 Å; angles 90.00, 90.00, 120.00 degrees
Space group R3m (No. 160, hexagonal axes)
Asymmetric unit:
Cd1 0.0000 0.0000 0.0000
Cu1 0.0000 0.0000 0.7469
Au1 0.0000 0.0000 0.2438
Au2 0.0000 0.0000 0.4885

=====

(10)
VASP calculation (PBE) on crystalline CdCuAu2 at its relaxed geometry.

Computed properties:
Uncorrected energy   -2.908 eV per atom
Calculated formation energy   -0.02 eV/atom

Cell lengths 2.9841, 2.9841, 27.2597 Å; angles 90.00, 90.00, 120.00 degrees
Space group R3m (No. 160, hexagonal axes)
Asymmetric unit:
Cd1 0.0000 0.0000 0.0000
Cu1 0.0000 0.0000 0.1668
Au1 0.0000 0.0000 0.5756
Au2 0.0000 0.0000 0.7578

=====

(11)
VASP calculation (PBE) on crystalline CdCuAu3 at its relaxed geometry.

Computed properties:
Uncorrected energy   -2.030 eV per atom
Calculated formation energy   0.94 eV/atom

Cell lengths 5.156, 5.156, 5.156 Å; angles 90.00, 90.00, 90.00 degrees
Space group Pm-3m (No. 221)
Asymmetric unit:
Cd1 0.000 0.000 0.000
Cu1 0.500 0.500 0.500
Au1 0.000 0.000 0.500

=====

(12)
VASP calculation (PBE) on crystalline Cd2Cu2Au at its relaxed geometry.

Computed properties:
Uncorrected energy   -2.397 eV per atom
Calculated formation energy   0.26 eV/atom

Cell lengths 3.864, 3.864, 12.369 Å; angles 90.00, 90.00, 90.00 degrees
Space group I4/mmm (No. 139)
Asymmetric unit:
Cd1 0.000 0.500 0.250
Cu1 0.000 0.000 0.093
Au1 0.000 0.000 0.500

=====

(13)
VASP calculation (PBE) on crystalline CdCuAu2 at its relaxed geometry.

Computed properties:
Uncorrected energy   -2.928 eV per atom
Calculated formation energy   -0.04 eV/atom

Cell lengths 9.504, 3.084, 4.922 Å; angles 90.00, 104.90, 90.00 degrees
Space group C2/m (No. 12)
Asymmetric unit:
Cd1 0.000 0.000 0.000
Cu1 0.000 0.500 0.500
Au1 0.235 0.000 0.736

=====

(14)
VASP calculation (PBE) on crystalline CdCuAu at its relaxed geometry.

Computed properties:
Uncorrected energy   -2.825 eV per atom
Calculated formation energy   -0.06 eV/atom

Cell lengths 3.288, 3.288, 9.449 Å; angles 90.00, 90.00, 90.00 degrees
Space group I4mm (No. 107)
Asymmetric unit:
Cd1 0.000 0.000 0.000
Cu1 0.000 0.000 0.334
Au1 0.000 0.000 0.688

=====

(15)
VASP calculation (PBE) on crystalline Cd4CuAu at its relaxed geometry.

Computed properties:
Uncorrected energy   -1.872 eV per atom
Calculated formation energy   -0.03 eV/atom

Cell lengths 4.528, 4.528, 6.588 Å; angles 90.00, 90.00, 90.00 degrees
Space group P4/mmm (No. 123)
Asymmetric unit:
Cd1 0.000 0.500 0.236
Cu1 0.000 0.000 0.000
Au1 0.500 0.500 0.500

=====

(16)
VASP calculation (PBE) on crystalline Cd3Cu2Au5 at its relaxed geometry.

Computed properties:
Uncorrected energy   -2.835 eV per atom
Calculated formation energy   -0.10 eV/atom

Cell lengths 9.362, 9.362, 4.192 Å; angles 90.00, 90.00, 90.00 degrees
Space group P4/mbm (No. 127)
Asymmetric unit:
Cd1 0.000 0.000 0.000
Cd2 0.172 0.328 0.000
Cu1 0.122 0.622 0.000
Au1 0.000 0.500 0.500
Au2 0.084 0.800 0.500

=====

(17)
VASP calculation (PBE) on crystalline Cd4CuAu at its relaxed geometry.

Computed properties:
Uncorrected energy   -1.572 eV per atom
Calculated formation energy   0.27 eV/atom

Cell lengths 7.921, 7.921, 7.921 Å; angles 90.00, 90.00, 90.00 degrees
Space group F-43m (No. 216)
Asymmetric unit:
Cd1 0.125 0.125 0.125
Cu1 0.250 0.250 0.750
Au1 0.000 0.000 0.500

=====

(18)
VASP calculation (PBE) on crystalline CdCu5Au4 at its relaxed geometry.

Computed properties:
Uncorrected energy   -3.474 eV per atom
Calculated formation energy   -0.02 eV/atom

Cell lengths 3.240, 3.240, 14.626 Å; angles 90.00, 90.00, 90.00 degrees
Space group P4/mmm (No. 123)
Asymmetric unit:
Cd1 0.000 0.000 0.000
Cu1 0.500 0.500 0.107
Cu2 0.500 0.500 0.303
Cu3 0.500 0.500 0.500
Au1 0.000 0.000 0.203
Au2 0.000 0.000 0.401

=====

(19)
VASP calculation (PBE) on crystalline Cd3CuAu3 at its relaxed geometry.

Computed properties:
Uncorrected energy   -2.428 eV per atom
Calculated formation energy   -0.05 eV/atom

Cell lengths 7.305, 10.798, 7.283 Å; angles 90.00, 97.31, 90.00 degrees
Space group C2/m (No. 12)
Asymmetric unit:
Cd1 0.000 0.163 0.000
Cd2 0.000 0.250 0.500
Cd3 0.141 0.500 0.847
Cu1 0.162 0.500 0.477
Au1 0.021 0.000 0.312
Au2 0.195 0.348 0.206

=====

(20)
VASP calculation (PBE) on crystalline CdCu5Au7 at its relaxed geometry.

Computed properties:
Uncorrected energy   -3.433 eV per atom
Calculated formation energy   -0.02 eV/atom

Cell lengths 5.201, 9.012, 9.133 Å; angles 90.00, 90.00, 90.00 degrees
Space group Imm2 (No. 44)
Asymmetric unit:
Cd1 0.000 0.000 0.000
Cu1 0.000 0.500 0.266
Cu2 0.248 0.255 0.253
Au1 0.000 0.000 0.349
Au2 0.000 0.000 0.673
Au3 0.000 0.306 0.498
Au4 0.000 0.335 0.008
Au5 0.000 0.500 0.736

=====

Values for density of states at the Fermi level, states/eV per atom, ordered as above
0.28 0.39 0.23 0.35 0.29 0.31 0.24 0.15 0.24 0.40 0.37 0.24 0.36 0.23 0.24 0.18 0.60 0.38 0.23 0.29